VASP calculation (PBE) on a relaxed YFeSe2 crystal. Values from VASP.

The structure in Quantum ESPRESSO input format:
```
&SYSTEM
  ibrav = 0, nat = 12, ntyp = 3
/
ATOMIC_SPECIES
Y 88.91 Y.upf
Fe 55.84 Fe.upf
Se 78.96 Se.upf
ATOMIC_POSITIONS crystal
Y 0.000 0.000 0.000
Y 0.333 0.667 0.667
Y 0.667 0.333 0.333
Fe 0.000 0.000 0.500
Fe 0.333 0.667 0.167
Fe 0.667 0.333 0.833
Se 0.000 0.000 0.240
Se 0.000 0.000 0.760
Se 0.333 0.667 0.426
Se 0.333 0.667 0.907
Se 0.667 0.333 0.093
Se 0.667 0.333 0.574
CELL_PARAMETERS angstrom
4.034 0.000 0.000
-2.017 3.494 0.000
0.000 0.000 17.932
```

Results
symmetry: R-3m
formation energy (no corrections): -908 meV per atom

---

VASP calculation (PBE) on a relaxed MnCdTe2 crystal. Values from VASP.

The structure in Quantum ESPRESSO input format:
```
&SYSTEM
  ibrav = 0, nat = 12, ntyp = 3
/
ATOMIC_SPECIES
Mn 54.94 Mn.upf
Cd 112.41 Cd.upf
Te 127.60 Te.upf
ATOMIC_POSITIONS crystal
Mn 0.000 0.000 0.000
Mn 0.333 0.667 0.667
Mn 0.667 0.333 0.333
Cd 0.000 0.000 0.502
Cd 0.333 0.667 0.169
Cd 0.667 0.333 0.836
Te 0.000 0.000 0.122
Te 0.000 0.000 0.631
Te 0.333 0.667 0.298
Te 0.333 0.667 0.789
Te 0.667 0.333 0.456
Te 0.667 0.333 0.964
CELL_PARAMETERS angstrom
4.597 0.000 0.000
-2.298 3.981 0.000
0.000 0.000 22.285
```

Results
symmetry: R3m
formation energy (no corrections): -267 meV per atom

---

VASP calculation (PBE) on a relaxed SrMn2Br crystal. Values from VASP.

The structure in Quantum ESPRESSO input format:
```
&SYSTEM
  ibrav = 0, nat = 8, ntyp = 3
/
ATOMIC_SPECIES
Sr 87.62 Sr.upf
Mn 54.94 Mn.upf
Br 79.90 Br.upf
ATOMIC_POSITIONS crystal
Sr 0.000 0.000 0.000
Sr 0.500 0.500 0.000
Mn 0.250 0.250 0.500
Mn 0.250 0.750 0.500
Mn 0.750 0.250 0.500
Mn 0.750 0.750 0.500
Br 0.000 0.500 0.000
Br 0.500 0.000 0.000
CELL_PARAMETERS angstrom
5.809 0.000 0.000
0.000 10.603 0.000
0.000 0.000 3.741
```

Results
symmetry: Cmmm
ΔE to the lowest computed polymorph: 1.60 eV/f.u.
formation energy (no corrections): 404 meV per atom

---

VASP calculation (PBE) on a relaxed PmSn6Pd6 crystal. Values from VASP.

The structure in Quantum ESPRESSO input format:
```
&SYSTEM
  ibrav = 0, nat = 13, ntyp = 3
/
ATOMIC_SPECIES
Pm 145.00 Pm.upf
Sn 118.71 Sn.upf
Pd 106.42 Pd.upf
ATOMIC_POSITIONS crystal
Pm 0.000 0.000 0.000
Sn 0.168 0.668 0.500
Sn 0.336 0.336 0.000
Sn 0.341 0.000 0.341
Sn 0.659 0.000 0.659
Sn 0.664 0.664 0.000
Sn 0.832 0.332 0.500
Pd 0.000 0.000 0.500
Pd 0.000 0.500 0.000
Pd 0.251 0.500 0.751
Pd 0.500 0.000 0.000
Pd 0.500 0.500 0.500
Pd 0.749 0.500 0.249
CELL_PARAMETERS angstrom
-2.896 4.485 4.985
2.896 -4.485 4.985
2.896 4.485 -4.985
```

Results
symmetry: Immm
formation energy from the elements: -7.68 eV per formula unit
ΔE to the lowest computed polymorph: 0.00 eV/f.u.

---

VASP calculation (PBE) on a relaxed LiReTe crystal. Values from VASP.

The structure in Quantum ESPRESSO input format:
```
&SYSTEM
  ibrav = 0, nat = 6, ntyp = 3
/
ATOMIC_SPECIES
Li 6.94 Li.upf
Re 186.21 Re.upf
Te 127.60 Te.upf
ATOMIC_POSITIONS crystal
Li 0.000 0.000 0.000
Li 0.500 0.500 0.500
Re 0.000 0.000 0.333
Re 0.500 0.500 0.833
Te 0.000 0.000 0.674
Te 0.500 0.500 0.174
CELL_PARAMETERS angstrom
3.356 0.000 0.000
0.000 3.356 0.000
0.000 0.000 8.487
```

Results
symmetry: I4mm
ΔE to the lowest computed polymorph: 0.00 eV/f.u.
formation energy (no corrections): 187 meV per atom

---

VASP calculation (PBE) on a relaxed PrSm2Sn2Hg2 crystal. Values from VASP.

The structure in Quantum ESPRESSO input format:
```
&SYSTEM
  ibrav = 0, nat = 7, ntyp = 4
/
ATOMIC_SPECIES
Pr 140.91 Pr.upf
Sm 150.36 Sm.upf
Sn 118.71 Sn.upf
Hg 200.59 Hg.upf
ATOMIC_POSITIONS crystal
Pr 0.000 0.000 0.000
Sm 0.131 0.131 0.131
Sm 0.869 0.869 0.869
Sn 0.269 0.269 0.269
Sn 0.731 0.731 0.731
Hg 0.430 0.430 0.430
Hg 0.570 0.570 0.570
CELL_PARAMETERS angstrom
2.507 1.447 9.223
-2.507 1.447 9.223
0.000 -2.895 9.223
```

Results
symmetry: R-3m
formation energy from the elements: -2.59 eV per formula unit

---

VASP calculation (PBE) on a relaxed LiDySiPt2 crystal. Values from VASP.

The structure in Quantum ESPRESSO input format:
```
&SYSTEM
  ibrav = 0, nat = 10, ntyp = 4
/
ATOMIC_SPECIES
Li 6.94 Li.upf
Dy 162.50 Dy.upf
Si 28.09 Si.upf
Pt 195.08 Pt.upf
ATOMIC_POSITIONS crystal
Li 0.000 0.000 0.000
Li 0.500 0.500 0.500
Dy 0.000 0.500 0.750
Dy 0.500 0.000 0.250
Si 0.000 0.000 0.500
Si 0.500 0.500 0.000
Pt 0.000 0.500 0.132
Pt 0.000 0.500 0.368
Pt 0.500 0.000 0.632
Pt 0.500 0.000 0.868
CELL_PARAMETERS angstrom
3.880 0.000 0.000
0.000 3.880 0.000
0.000 0.000 11.602
```

Results
symmetry: I-4m2
formation energy (no corrections): -956 meV per atom

---

VASP calculation (PBE) on a relaxed CaPHO2 crystal. Values from VASP.

The structure in Quantum ESPRESSO input format:
```
&SYSTEM
  ibrav = 0, nat = 5, ntyp = 4
/
ATOMIC_SPECIES
Ca 40.08 Ca.upf
P 30.97 P.upf
H 1.01 H.upf
O 16.00 O.upf
ATOMIC_POSITIONS crystal
Ca 0.000 0.000 0.000
P 0.500 0.500 0.000
H 0.500 0.500 0.500
O 0.000 0.500 0.500
O 0.500 0.000 0.500
CELL_PARAMETERS angstrom
4.201 0.000 0.000
0.000 4.201 0.000
0.000 0.000 3.012
```

Results
symmetry: P4/mmm
ΔE to the lowest computed polymorph: 0.00 eV/f.u.

---

VASP calculation (PBE) on a relaxed Nd2DyH crystal. Values from VASP.

The structure in Quantum ESPRESSO input format:
```
&SYSTEM
  ibrav = 0, nat = 4, ntyp = 3
/
ATOMIC_SPECIES
Nd 144.24 Nd.upf
Dy 162.50 Dy.upf
H 1.01 H.upf
ATOMIC_POSITIONS crystal
Nd 0.000 0.000 0.191
Nd 0.000 0.000 0.809
Dy 0.500 0.500 0.500
H 0.500 0.500 0.000
CELL_PARAMETERS angstrom
3.444 0.000 0.000
0.000 3.444 0.000
0.000 0.000 8.629
```

Results
symmetry: P4/mmm
ΔE to the lowest computed polymorph: 0.95 eV/f.u.

---

VASP calculation (PBE) on a relaxed Sm2Dy6Zr crystal. Values from VASP.

The structure in Quantum ESPRESSO input format:
```
&SYSTEM
  ibrav = 0, nat = 9, ntyp = 3
/
ATOMIC_SPECIES
Sm 150.36 Sm.upf
Dy 162.50 Dy.upf
Zr 91.22 Zr.upf
ATOMIC_POSITIONS crystal
Sm 0.165 0.165 0.164
Sm 0.835 0.835 0.836
Dy 0.157 0.516 0.337
Dy 0.203 0.797 0.000
Dy 0.484 0.843 0.663
Dy 0.516 0.157 0.337
Dy 0.797 0.203 0.000
Dy 0.843 0.484 0.663
Zr 0.500 0.500 0.500
CELL_PARAMETERS angstrom
8.817 -4.869 0.000
8.817 4.869 0.000
-0.638 0.000 3.338
```

Results
symmetry: C2/m
formation energy from the elements: 2.00 eV per formula unit

---

VASP calculation (PBE) on a relaxed Cd2TcBr crystal. Values from VASP.

The structure in Quantum ESPRESSO input format:
```
&SYSTEM
  ibrav = 0, nat = 8, ntyp = 3
/
ATOMIC_SPECIES
Cd 112.41 Cd.upf
Tc 98.00 Tc.upf
Br 79.90 Br.upf
ATOMIC_POSITIONS crystal
Cd 0.000 0.500 0.250
Cd 0.000 0.500 0.750
Cd 0.500 0.000 0.250
Cd 0.500 0.000 0.750
Tc 0.000 0.000 0.000
Tc 0.500 0.500 0.500
Br 0.000 0.000 0.500
Br 0.500 0.500 0.000
CELL_PARAMETERS angstrom
4.084 0.000 0.000
0.000 4.084 0.000
0.000 0.000 9.849
```

Results
symmetry: I4/mmm
ΔE to the lowest computed polymorph: 1.76 eV/f.u.
formation energy (no corrections): 684 meV per atom

---

VASP calculation (PBE) on a relaxed GaNi2 crystal. Values from VASP.

The structure in Quantum ESPRESSO input format:
```
&SYSTEM
  ibrav = 0, nat = 6, ntyp = 2
/
ATOMIC_SPECIES
Ga 69.72 Ga.upf
Ni 58.69 Ni.upf
ATOMIC_POSITIONS crystal
Ga 0.000 0.000 0.000
Ga 0.500 0.500 0.500
Ni 0.000 0.000 0.334
Ni 0.000 0.000 0.666
Ni 0.500 0.500 0.166
Ni 0.500 0.500 0.834
CELL_PARAMETERS angstrom
2.655 0.000 0.000
0.000 3.470 0.000
0.000 0.000 7.698
```

Results
symmetry: Immm
formation energy from the elements: -0.84 eV per formula unit

---

Record-wise mass density values, in g/cm³: 5.96, 5.16, 4.00, 9.59, 11.14, 8.93, 11.17, 3.25, 7.33, 7.92, 8.14, 8.76